The following is a GGA-PBEsol calculation of RbTe3P after structural relaxation, from Alexandria.

* E_form (uncorrected): 1614 meV per atom
* offset from the most stable computed form: 1701 meV per atom
* size of the total moment: 2.21 μB/cell
* mass density: 3.65 g/cm3
* raw total energy: -9.3 eV for the cell shown

Cell lengths 6.102, 6.102, 6.102 Å; angles 90.00, 90.00, 90.00 degrees
Space group Pm-3m (No. 221)
Symmetry-distinct sites (fractional):
Rb  0.000  0.000  0.000 x1
Te  0.000  0.000  0.500 x3
P  0.500  0.500  0.500 x1